VASP calculation (GGA-PBE) on NbZnMoIr after structural relaxation.

Calculated values
D(E_F)   4.70 states/eV/f.u.
Space group   F-43m
DFT formation energy   -71.5 meV per atom

Lattice parameters (Å, degrees): 4.459 4.459 4.459 60.00 60.00 60.00
Atoms (fractional coordinates):
Ir: 0.000 0.000 0.000
Nb: 0.250 0.250 0.250
Mo: 0.500 0.500 0.500
Zn: 0.750 0.750 0.750